Entry 1:
# Mn2Al7Re2 (PBE, relaxed)
data_Mn2Al7Re2
_space_group_name_H-M_alt 'P 1'
_space_group_IT_number 1
_cell_length_a 5.081
_cell_length_b 5.081
_cell_length_c 6.618
_cell_angle_alpha 98.22
_cell_angle_beta 98.22
_cell_angle_gamma 99.07
loop_
_space_group_symop_operation_xyz
'x,y,z'
loop_
_atom_site_label
_atom_site_type_symbol
_atom_site_fract_x
_atom_site_fract_y
_atom_site_fract_z
_atom_site_occupancy
Mn1 Mn 0.317 0.683 0.500 1
Mn2 Mn 0.683 0.317 0.500 1
Al1 Al 0.920 0.527 0.200 1
Al2 Al 0.473 0.080 0.800 1
Al3 Al 0.080 0.473 0.800 1
Al4 Al 0.527 0.920 0.200 1
Al5 Al 0.000 0.000 0.000 1
Al6 Al 0.838 0.838 0.572 1
Al7 Al 0.162 0.162 0.428 1
Re1 Re 0.617 0.617 0.859 1
Re2 Re 0.383 0.383 0.141 1
# DOS at the Fermi energy in states/eV per atom: 0.47
# E in eV/f.u.: -72.1
# Calculated volume in Å³/atom: 14.962
# Formation energy in meV per atom: -244

---

Entry 2:
# Li2LaSc (PBE, relaxed)
data_Li2LaSc
_space_group_name_H-M_alt 'P 1'
_space_group_IT_number 1
_cell_length_a 5.968
_cell_length_b 6.295
_cell_length_c 3.270
_cell_angle_alpha 78.38
_cell_angle_beta 82.92
_cell_angle_gamma 116.23
loop_
_space_group_symop_operation_xyz
'x,y,z'
loop_
_atom_site_label
_atom_site_type_symbol
_atom_site_fract_x
_atom_site_fract_y
_atom_site_fract_z
_atom_site_occupancy
La1 La 0.500 0.500 0.000 1
Li1 Li 0.000 0.000 0.000 1
Li2 Li 0.500 0.000 0.500 1
Sc1 Sc 0.000 0.500 0.500 1
# DOS at the Fermi energy in states/eV per atom: 1.09
# E in eV/f.u.: -14.2
# Calculated volume in Å³/atom: 26.189
# Formation energy in meV per atom: 222